# 1
Li2PdO3 after structural relaxation. Source: OQMD, functional PBE.

Unit cell a=5.1184 b=8.8415 c=5.0800 alpha=90.00 beta=109.81 gamma=90.00
Space group C2/m (No. 12)
Asymmetric unit:
Li: 0.0000 0.0000 0.0000 (multiplicity 2)
Li: 0.0000 0.1617 0.5000 (multiplicity 4)
Li: 0.0000 0.5000 0.5000 (multiplicity 2)
Pd: 0.0000 0.3330 0.0000 (multiplicity 4)
O: 0.2363 0.5000 0.2413 (multiplicity 4)
O: 0.2475 0.3274 0.7619 (multiplicity 8)

Values from the calculation:
VASP energy in eV/cell: -125.98
Energy above the lowest structure with this stoichiometry in meV per atom: 1
Crystal system: monoclinic


# 2
HoTmSnN after structural relaxation. Source: OQMD, functional PBE.

Unit cell a=3.4886 b=3.4886 c=15.2119 alpha=90.00 beta=90.00 gamma=120.00
Space group P-3m1 (No. 164)
Asymmetric unit:
Ho: 0.3333 0.6667 0.0860 (multiplicity 2)
Tm: 0.3333 0.6667 0.4156 (multiplicity 2)
Sn: 0.3333 0.6667 0.7481 (multiplicity 2)
N: 0.0000 0.0000 0.0000 (multiplicity 1)
N: 0.0000 0.0000 0.5000 (multiplicity 1)

Values from the calculation:
VASP energy in eV/cell: -52.33
Crystal system: trigonal


# 3
GdHo2Al3Ge2Au after structural relaxation. Source: OQMD, functional PBE.

Unit cell a=4.2660 b=12.2360 c=7.0406 alpha=90.00 beta=90.00 gamma=90.00
Space group Amm2 (No. 38)
Asymmetric unit:
Gd: 0.0000 0.0000 0.0000 (multiplicity 2)
Ho: 0.0000 0.2076 0.3788 (multiplicity 4)
Al: 0.5000 0.0000 0.3472 (multiplicity 2)
Al: 0.5000 0.1187 0.7043 (multiplicity 4)
Ge: 0.5000 0.1684 0.0866 (multiplicity 4)
Au: 0.0000 0.0000 0.5802 (multiplicity 2)

Values from the calculation:
VASP energy in eV/cell: -88.06
Crystal system: orthorhombic


# 4
Nb2SnTe2 after structural relaxation. Source: OQMD, functional PBE.

Unit cell a=4.5265 b=4.5265 c=12.2048 alpha=90.00 beta=90.00 gamma=90.00
Space group I4/mmm (No. 139)
Asymmetric unit:
Nb: 0.0000 0.0000 0.1116 (multiplicity 4)
Sn: 0.0000 0.0000 0.5000 (multiplicity 2)
Te: 0.0000 0.5000 0.2500 (multiplicity 4)

Values from the calculation:
VASP energy in eV/cell: -57.86
Energy above the lowest structure with this stoichiometry in meV per atom: 310
Crystal system: tetragonal


# 5
PrTlO3 after structural relaxation. Source: OQMD, functional PBE.

Unit cell a=6.0935 b=6.0935 c=14.0031 alpha=90.00 beta=90.00 gamma=120.00
Space group R-3c (No. 167, hexagonal axes)
Asymmetric unit:
Pr: 0.0000 0.0000 0.2500 (multiplicity 6)
Tl: 0.0000 0.0000 0.0000 (multiplicity 6)
O: 0.0000 0.3776 0.2500 (multiplicity 18)

Values from the calculation:
VASP energy in eV/cell: -187.69
Crystal system: trigonal


# 6
PrPaNO after structural relaxation. Source: OQMD, functional PBE.

Unit cell a=6.4126 b=6.4194 c=8.2966 alpha=90.00 beta=90.59 gamma=90.00
Space group Cm (No. 8)
Asymmetric unit:
Pr: 0.0000 0.0000 0.0000 (multiplicity 2)
Pr: 0.0026 0.5000 0.2061 (multiplicity 2)
Pa: 0.2539 0.2495 0.5910 (multiplicity 4)
N: 0.0012 0.0000 0.5082 (multiplicity 2)
N: 0.0057 0.5000 0.5023 (multiplicity 2)
O: 0.2513 0.2498 0.1104 (multiplicity 4)

Values from the calculation:
VASP energy in eV/cell: -131.00
Energy above the lowest structure with this stoichiometry in meV per atom: 165
Crystal system: monoclinic